# BaLiSn

BaLiSn after structural relaxation (GGA-PBE, Alexandria via LeMat-Bulk).

Properties
V ... 37.3 Å³ per atom
ΔH_f (0 K) ... -90 kJ/mol of formula units

abc: 4.7234 5.1996 10.5080
angles: 83.86 77.01 62.99
Element x y z (fractional)
Sn: 0.8100 0.9811 0.3989
Sn: 0.1900 0.0189 0.6011
Li: 0.5097 0.3720 0.6086
Li: 0.4903 0.6280 0.3914
Ba: 0.2479 0.3086 0.1956
Ba: 0.7521 0.6914 0.8044